[1]
A plane-wave DFT calculation with meta-GGA SCAN was carried out for a PBEsol-optimized structure of CsBiO2.

a = 8.267 Å, b = 9.199 Å, c = 5.986 Å
α = 90.00°, β = 123.09°, γ = 90.00°
Space group C2/c (No. 15)
Unique sites:
Cs 0.000 0.141 0.250
Bi 0.000 0.411 0.750
O 0.180 0.445 0.208

## Properties
magnetization: 0.00 Bohr magnetons per cell
calculated volume: 23.84 Å³/atom
formation energy from raw total energies: -1.354 eV per atom

---

[2]
A plane-wave DFT calculation with meta-GGA SCAN was carried out for a PBEsol-optimized structure of Cs12Sn2Bi6O.

a = 12.7649 Å, b = 12.7649 Å, c = 6.5949 Å
α = 90.00°, β = 90.00°, γ = 120.00°
Space group P-3m1 (No. 164)
Unique sites:
Cs 0.0936 0.5468 0.2510
Cs 0.1111 0.2222 0.2262
Sn 0.3333 0.6667 0.7514
Bi 0.2062 0.4124 0.7441
O 0.0000 0.0000 0.0000

## Properties
magnetization: 0.00 Bohr magnetons per cell
calculated volume: 44.32 Å³/atom
formation energy from raw total energies: -0.584 eV per atom

---

> Which value of formation energy from raw total energies does entry 2 give?

-0.584 eV per atom